Crystalline Ac5SnTe4 at its relaxed geometry. Source: the Alexandria database, functional PBE. Values from VASP.

The structure in Quantum ESPRESSO input format:
```
&SYSTEM
  ibrav = 0, nat = 10, ntyp = 3
/
ATOMIC_SPECIES
Te 127.60 Te.upf
Ac 227.00 Ac.upf
Sn 118.71 Sn.upf
ATOMIC_POSITIONS crystal
Te 0.403 0.400 0.796
Te 0.199 0.204 0.400
Te 0.803 0.796 0.600
Te 0.599 0.600 0.204
Ac 0.100 0.608 0.194
Ac 0.501 0.000 0.000
Ac 0.902 0.392 0.806
Ac 0.294 0.806 0.608
Ac 0.708 0.194 0.392
Sn 0.001 0.000 0.000
CELL_PARAMETERS angstrom
6.721 0.000 0.000
3.360 7.541 0.000
3.360 0.000 7.541
```

Summary:
crystal system	tetragonal
uncorrected formation energy	-1385	meV/atom
space-group type	I4/m
uncorrected energy	-5.096	eV per atom
total magnetic moment	0.00	μB/f.u.

---

Crystalline AcSnTe2 at its relaxed geometry. Source: the Alexandria database, functional PBE. Values from VASP.

The structure in Quantum ESPRESSO input format:
```
&SYSTEM
  ibrav = 0, nat = 4, ntyp = 3
/
ATOMIC_SPECIES
Sn 118.71 Sn.upf
Te 127.60 Te.upf
Ac 227.00 Ac.upf
ATOMIC_POSITIONS crystal
Sn 0.000 0.000 0.000
Te 0.897 0.897 0.308
Te 0.103 0.103 0.692
Ac 0.500 0.500 0.500
CELL_PARAMETERS angstrom
-2.477 3.968 -0.088
-1.208 1.913 -4.095
-9.662 -3.304 -1.365
```

Summary:
crystal system	trigonal
uncorrected formation energy	-681	meV/atom
space-group type	R-3m
uncorrected energy	-4.279	eV per atom
total magnetic moment	0.00	μB/f.u.

---

Crystalline AcSn2Te at its relaxed geometry. Source: the Alexandria database, functional PBE. Values from VASP.

The structure in Quantum ESPRESSO input format:
```
&SYSTEM
  ibrav = 0, nat = 4, ntyp = 3
/
ATOMIC_SPECIES
Ac 227.00 Ac.upf
Te 127.60 Te.upf
Sn 118.71 Sn.upf
ATOMIC_POSITIONS crystal
Ac 0.500 0.500 0.500
Te 0.500 0.500 0.000
Sn 0.000 0.000 0.220
Sn 0.000 0.000 0.780
CELL_PARAMETERS angstrom
4.370 0.000 0.000
0.000 4.370 0.000
0.000 0.000 6.663
```

Summary:
crystal system	tetragonal
uncorrected formation energy	-418	meV/atom
space-group type	P4/mmm
uncorrected energy	-4.232	eV per atom
relative energy among the computed polymorphs	0.201	eV per atom
total magnetic moment	0.00	μB/f.u.

---

Crystalline Ac2SnTe at its relaxed geometry. Source: the Alexandria database, functional PBE. Values from VASP.

The structure in Quantum ESPRESSO input format:
```
&SYSTEM
  ibrav = 0, nat = 4, ntyp = 3
/
ATOMIC_SPECIES
Sn 118.71 Sn.upf
Ac 227.00 Ac.upf
Te 127.60 Te.upf
ATOMIC_POSITIONS crystal
Sn 0.500 0.500 0.000
Ac 0.000 0.000 0.253
Ac 0.000 0.000 0.747
Te 0.500 0.500 0.500
CELL_PARAMETERS angstrom
-0.061 -2.960 2.654
2.963 -1.803 -1.943
5.758 4.231 4.853
```

Summary:
crystal system	tetragonal
uncorrected formation energy	-996	meV/atom
space-group type	P4/mmm
uncorrected energy	-4.836	eV per atom
relative energy among the computed polymorphs	0.162	eV per atom
total magnetic moment	0.00	μB/f.u.

---

Crystalline Ac4SnTe7 at its relaxed geometry. Source: the Alexandria database, functional PBE. Values from VASP.

The structure in Quantum ESPRESSO input format:
```
&SYSTEM
  ibrav = 0, nat = 12, ntyp = 3
/
ATOMIC_SPECIES
Ac 227.00 Ac.upf
Sn 118.71 Sn.upf
Te 127.60 Te.upf
ATOMIC_POSITIONS crystal
Ac 0.704 0.408 0.811
Ac 0.315 0.630 0.211
Ac 0.109 0.218 0.437
Ac 0.008 0.016 0.993
Sn 0.877 0.754 0.572
Te 0.465 0.929 0.466
Te 0.669 0.338 0.056
Te 0.346 0.692 0.959
Te 0.265 0.529 0.653
Te 0.967 0.933 0.214
Te 0.732 0.464 0.357
Te 0.044 0.088 0.771
CELL_PARAMETERS angstrom
4.622 0.000 0.000
-2.311 7.466 -1.985
0.000 -0.062 13.752
```

Summary:
crystal system	monoclinic
uncorrected formation energy	-1338	meV/atom
space-group type	Cm
uncorrected energy	-4.874	eV per atom
total magnetic moment	0.00	μB/f.u.

---

Crystalline Ac8Sn5Te at its relaxed geometry. Source: the Alexandria database, functional PBE. Values from VASP.

The structure in Quantum ESPRESSO input format:
```
&SYSTEM
  ibrav = 0, nat = 14, ntyp = 3
/
ATOMIC_SPECIES
Ac 227.00 Ac.upf
Te 127.60 Te.upf
Sn 118.71 Sn.upf
ATOMIC_POSITIONS crystal
Ac 0.122 0.753 0.510
Ac 0.626 0.894 0.877
Ac 0.983 0.106 0.732
Ac 0.631 0.388 0.878
Ac 0.123 0.749 0.017
Ac 0.268 0.251 0.374
Ac 0.490 0.612 0.243
Ac 0.757 0.247 0.369
Te 0.250 0.500 0.750
Sn 0.004 0.375 0.126
Sn 0.750 0.625 0.629
Sn 0.371 0.122 0.996
Sn 0.500 0.000 0.500
Sn 0.874 0.878 0.250
CELL_PARAMETERS angstrom
2.228 -7.775 -3.484
6.641 3.015 4.934
-7.173 -0.975 5.015
```

Summary:
crystal system	tetragonal
uncorrected formation energy	-783	meV/atom
space-group type	I-4
uncorrected energy	-4.784	eV per atom
total magnetic moment	0.00	μB/f.u.

---

Crystalline Ac12Sn5Te2 at its relaxed geometry. Source: the Alexandria database, functional PBE. Values from VASP.

The structure in Quantum ESPRESSO input format:
```
&SYSTEM
  ibrav = 0, nat = 19, ntyp = 3
/
ATOMIC_SPECIES
Sn 118.71 Sn.upf
Ac 227.00 Ac.upf
Te 127.60 Te.upf
ATOMIC_POSITIONS crystal
Sn 0.702 0.403 0.360
Sn 0.298 0.597 0.640
Sn 0.322 0.644 0.162
Sn 0.678 0.356 0.838
Sn 0.000 0.000 0.500
Ac 0.013 0.026 0.810
Ac 0.576 0.653 0.899
Ac 0.424 0.347 0.101
Ac 0.493 0.986 0.725
Ac 0.078 0.653 0.899
Ac 0.987 0.974 0.190
Ac 0.395 0.293 0.566
Ac 0.101 0.707 0.434
Ac 0.922 0.347 0.101
Ac 0.507 0.014 0.275
Ac 0.605 0.707 0.434
Ac 0.899 0.293 0.566
Te 0.709 0.000 0.000
Te 0.291 0.000 0.000
CELL_PARAMETERS angstrom
-1.437 3.306 7.691
-8.651 -3.167 -4.945
3.590 -8.819 4.461
```

Summary:
crystal system	monoclinic
uncorrected formation energy	-530	meV/atom
space-group type	C2/m
uncorrected energy	-4.509	eV per atom
total magnetic moment	2.07	μB/f.u.

---

Crystalline AcSn3Te6 at its relaxed geometry. Source: the Alexandria database, functional PBE. Values from VASP.

The structure in Quantum ESPRESSO input format:
```
&SYSTEM
  ibrav = 0, nat = 20, ntyp = 3
/
ATOMIC_SPECIES
Te 127.60 Te.upf
Sn 118.71 Sn.upf
Ac 227.00 Ac.upf
ATOMIC_POSITIONS crystal
Te 0.750 0.089 0.482
Te 0.250 0.208 0.309
Te 0.250 0.281 0.789
Te 0.250 0.541 0.360
Te 0.250 0.072 0.928
Te 0.750 0.928 0.072
Te 0.750 0.459 0.640
Te 0.750 0.327 0.054
Te 0.750 0.719 0.211
Te 0.250 0.911 0.518
Te 0.250 0.673 0.946
Te 0.750 0.792 0.691
Sn 0.750 0.712 0.426
Sn 0.750 0.169 0.149
Sn 0.250 0.500 0.122
Sn 0.750 0.500 0.878
Sn 0.250 0.831 0.851
Sn 0.250 0.288 0.574
Ac 0.750 0.076 0.740
Ac 0.250 0.924 0.260
CELL_PARAMETERS angstrom
4.480 0.000 0.000
0.000 13.491 -1.144
0.000 -5.608 12.102
```

Summary:
crystal system	monoclinic
uncorrected formation energy	-512	meV/atom
space-group type	P2_1/m
uncorrected energy	-4.009	eV per atom
total magnetic moment	0.00	μB/f.u.